1.
Computed, not measured: a relaxed Y2TiAsF crystal at the PBE level of DFT.

The structure belongs to space group P4/mmm (No. 123); the cell edges are 5.4446, 5.4446 and 3.9330 Å and the angles 90.00°, 90.00° and 90.00°. The inequivalent atoms are Y at (0.0000, 0.5000, 0.0000), Ti at (0.0000, 0.0000, 0.0000), As at (0.5000, 0.5000, 0.5000) and F at (0.0000, 0.0000, 0.5000).

The total DFT energy (no corrections) comes out at -6.0612 eV per atom. The value obtained for the formation energy from raw total energies is -592 meV/atom.


2.
Computed, not measured: a relaxed Tl2As2F crystal at the PBE level of DFT.

The structure belongs to space group I4/mmm (No. 139); the cell edges are 3.7156, 3.7156 and 18.0490 Å and the angles 90.00°, 90.00° and 90.00°. The inequivalent atoms are Tl at (0.0000, 0.0000, 0.0896), As at (0.0000, 0.5000, 0.2500) and F at (0.0000, 0.0000, 0.5000).

The total DFT energy (no corrections) comes out at -3.7439 eV per atom. The value obtained for the formation energy from raw total energies is -563 meV/atom.


3.
Computed, not measured: a relaxed Tl2AsF crystal at the PBE level of DFT.

The structure belongs to space group I-42d (No. 122); the cell edges are 5.7266, 5.7266 and 14.3932 Å and the angles 90.00°, 90.00° and 90.00°. The inequivalent atoms are Tl at (0.2071, 0.2500, 0.1250), As at (0.0000, 0.0000, 0.5000) and F at (0.0000, 0.0000, 0.0000).

The total DFT energy (no corrections) comes out at -3.3634 eV per atom. The value obtained for the formation energy from raw total energies is -550 meV/atom.


4.
Computed, not measured: a relaxed TlAs2F6 crystal at the PBE level of DFT.

The structure belongs to space group C2/c (No. 15); the cell edges are 11.0103, 11.6438 and 5.9094 Å and the angles 90.00°, 115.80° and 90.00°. The inequivalent atoms are Tl at (0.0000, 0.1295, 0.2500), As at (0.1180, 0.4193, 0.1256), F at (0.1164, 0.2734, 0.0178), F at (0.1399, 0.3485, 0.4311) and F at (0.2014, 0.0625, 0.7596).

The total DFT energy (no corrections) comes out at -4.3706 eV per atom. The value obtained for the formation energy from raw total energies is -1827 meV/atom.


5.
Computed, not measured: a relaxed Tl3AsF7 crystal at the PBE level of DFT.

The structure belongs to space group Cm (No. 8); the cell edges are 8.6346, 8.8730 and 6.8366 Å and the angles 90.00°, 119.68° and 90.00°. The inequivalent atoms are Tl at (0.0000, 0.0000, 0.0000), Tl at (0.4726, 0.2367, 0.4458), As at (0.0044, 0.5000, 0.9766), F at (0.0972, 0.5000, 0.7484), F at (0.1434, 0.2506, 0.2417), F at (0.3551, 0.1482, 0.8022), F at (0.3693, 0.0000, 0.1391) and F at (0.4573, 0.5000, 0.3832).

The total DFT energy (no corrections) comes out at -4.1247 eV per atom. The value obtained for the formation energy from raw total energies is -1866 meV/atom.


6.
Computed, not measured: a relaxed TlAsF4 crystal at the PBE level of DFT.

The structure belongs to space group Cmcm (No. 63); the cell edges are 4.2335, 15.6989 and 6.6542 Å and the angles 90.00°, 90.00° and 90.00°. The inequivalent atoms are Tl at (0.0000, 0.1531, 0.2500), As at (0.0000, 0.4082, 0.2500), F at (0.0000, 0.0978, 0.7500), F at (0.0000, 0.3202, 0.0508) and F at (0.0000, 0.5000, 0.0000).

The total DFT energy (no corrections) comes out at -4.4140 eV per atom. The value obtained for the formation energy from raw total energies is -1997 meV/atom.


| no. | total magnetization (μB per formula unit) | theoretical density (g cm⁻³) |
| --- | --- | --- |
| 1 | 1.091 | 4.55 |
| 2 | 0.000 | 7.70 |
| 3 | 0.000 | 7.07 |
| 4 | 0.000 | 4.56 |
| 5 | 0.000 | 5.99 |
| 6 | 0.000 | 5.34 |